First-principles (PBE with a Hubbard U) data for a geometry-optimized ReB2WF structure, as listed in the Alexandria database.

Cell: 3.9528 3.8644 3.9528 Å, 90.00 90.00 90.00°
Fractional positions:
1 Re 0.0000 0.5000 0.0000
2 B 0.0000 0.0000 0.5000
3 B 0.5000 0.0000 0.0000
4 W 0.5000 0.5000 0.5000
5 F 0.0000 0.0000 0.0000

Computed properties:
**D(E_F)**: 2.99 states/eV/f.u.
**Total DFT energy (no corrections)**: -5.323 eV per atom